Li3Mg4Au2 GGA-PBE optimized geometry; final energy = -2.490 eV per atom; Fermi-level density of states = 0.471 states/eV/atom; calculated formation energy = -0.415 eV per atom; crystal system = trigonal; SG = P-3m1 (164); calculated volume = 162 Å³/cell
1.0
4.640 0.001 0.000
2.320 3.986 0.504
-0.002 -1.091 8.628
Au Mg Li
2 4 3
direct
0.333 0.333 0.785
0.667 0.667 0.215
0.000 0.000 0.677
0.333 0.333 0.113
0.000 0.000 0.323
0.667 0.667 0.887
0.000 0.000 0.000
0.333 0.333 0.462
0.667 0.667 0.538